Record 1
Material: BaSr2Sc
Method: DFT, PBE
State: optimized geometry

Magnetization ... 0.0036 μB/atom
Energy of formation from the pure elements ... 0.2829 eV per atom
Fermi-level density of states ... 1.5389 states/eV/atom
E_tot ... -10.5 eV per formula unit

Cell and atoms, written as POSCAR:
```
BaSr2Sc
1.0
-1.7674 -5.6283 2.3585
-2.3969 -4.4473 -3.8522
3.3859 -5.2078 -1.3334
Ba Sc Sr
1 1 2
Direct
0.5000 0.5000 0.5000 Ba
0.7500 0.7500 0.7500 Sc
0.0000 0.0000 0.0000 Sr
0.2500 0.2500 0.2500 Sr
```

Record 2
Material: MgTl2In2
Method: DFT, PBE
State: optimized geometry

Magnetization ... 0.0000 μB/atom
Energy of formation from the pure elements ... 0.1325 eV per atom
Fermi-level density of states ... 0.5215 states/eV/atom
E_tot ... -11.1 eV per formula unit

Cell and atoms, written as POSCAR:
```
MgTl2In2
1.0
-0.4363 4.1697 -0.3939
-3.8464 -0.5556 -1.6212
-5.4436 2.1892 6.6963
Tl Mg In
2 1 2
Direct
0.4042 0.4042 0.1916 Tl
0.5958 0.5958 0.8084 Tl
0.0000 0.0000 0.0000 Mg
0.7500 0.2500 0.5000 In
0.2500 0.7500 0.5000 In
```